1.
This record from the Alexandria database describes an optimized crystal structure of Ca5TbPt6. The functional is PBE-GGA.

a b c (Å): 4.9265 7.0638 7.7991
angles (deg): 90.00 71.18 90.00
With the nearest neighbours (Å) after each atom.
Element x y z (fractional)
Pt1 0.5000 0.2353 0.0000  2 Tb 2.97, 6 Ca 3.02-3.09, 1 Pt 3.32
Pt2 0.5000 0.7647 0.0000  2 Tb 2.97, 6 Ca 3.02-3.09, 1 Pt 3.32
Pt3 0.1615 0.2470 0.6778  1 Tb 2.95, 7 Ca 2.98-3.11
Pt4 0.1615 0.7530 0.6778  1 Tb 2.95, 7 Ca 2.98-3.11
Pt5 0.8385 0.7530 0.3222  1 Tb 2.95, 7 Ca 2.98-3.11
Pt6 0.8385 0.2470 0.3222  1 Tb 2.95, 7 Ca 2.98-3.11
Ca1 0.0000 0.5000 0.0000  8 Pt 2.98-3.09
Ca2 0.6710 0.0000 0.6584  8 Pt 3.02-3.03
Ca3 0.6667 0.5000 0.6671  8 Pt 3.04-3.11
Ca4 0.3290 0.0000 0.3416  8 Pt 3.02-3.03
Ca5 0.3333 0.5000 0.3329  8 Pt 3.04-3.11
Tb1 0.0000 0.0000 0.0000  8 Pt 2.95-2.97

Output
- calculated total energy (eV per atom) = -5.1975
- space group = P2/m, No. 10
- total magnetic moment (μB per atom) = 0.00
- formation energy (eV per atom) = -0.957

***

2.
This record from the Alexandria database describes an optimized crystal structure of CaTb2Pt2. The functional is PBE-GGA.

a b c (Å): 3.8941 7.8832 7.8832
angles (deg): 90.00 90.00 90.00
With the nearest neighbours (Å) after each atom.
Element x y z (fractional)
Pt1 0.5000 0.1375 0.8625  6 Tb 3.00-3.04, 2 Ca 3.06, 1 Pt 3.07
Pt2 0.5000 0.6375 0.6375  6 Tb 3.00-3.04, 2 Ca 3.06, 1 Pt 3.07
Pt3 0.5000 0.8625 0.1375  6 Tb 3.00-3.04, 2 Ca 3.06, 1 Pt 3.07
Pt4 0.5000 0.3625 0.3625  6 Tb 3.00-3.04, 2 Ca 3.06, 1 Pt 3.07
Tb1 0.0000 0.6573 0.3427  6 Pt 3.00-3.04
Tb2 0.0000 0.8427 0.8427  6 Pt 3.00-3.04
Tb3 0.0000 0.1573 0.1573  6 Pt 3.00-3.04
Tb4 0.0000 0.3427 0.6573  6 Pt 3.00-3.04
Ca1 0.5000 0.0000 0.5000  4 Pt 3.06
Ca2 0.5000 0.5000 0.0000  4 Pt 3.06

Output
- calculated total energy (eV per atom) = -5.6754
- space group = P4/mbm, No. 127
- total magnetic moment (μB per atom) = 0.00
- formation energy (eV per atom) = -1.007
- distance to the lowest polymorph of the same formula (eV per atom) = 0.000

***

3.
This record from the Alexandria database describes an optimized crystal structure of Ca4TbPt5. The functional is PBE-GGA.

a b c (Å): 3.5079 3.5079 17.4262
angles (deg): 90.00 90.00 90.00
With the nearest neighbours (Å) after each atom.
Element x y z (fractional)
Tb1 0.0000 0.0000 0.0000  8 Pt 2.97
Ca1 0.0000 0.0000 0.2032  8 Pt 3.00-3.13
Ca2 0.0000 0.0000 0.4009  8 Pt 3.02-3.04
Ca3 0.0000 0.0000 0.5991  8 Pt 3.02-3.04
Ca4 0.0000 0.0000 0.7968  8 Pt 3.00-3.13
Pt1 0.5000 0.5000 0.5000  8 Ca 3.02
Pt2 0.5000 0.5000 0.0940  4 Tb 2.97, 4 Ca 3.13, 1 Pt 3.27
Pt3 0.5000 0.5000 0.6996  8 Ca 3.00-3.04
Pt4 0.5000 0.5000 0.3004  8 Ca 3.00-3.04
Pt5 0.5000 0.5000 0.9060  4 Tb 2.97, 4 Ca 3.13, 1 Pt 3.27

Output
- calculated total energy (eV per atom) = -5.2479
- space group = P4/mmm, No. 123
- total magnetic moment (μB per atom) = 0.00
- formation energy (eV per atom) = -0.964